1.
18
Lattice="-5.232 2.994 1.100 -4.491 -0.833 10.251 0.398 9.032 6.649" Properties=species:S:1:pos:R:3 comment="Nd2Ho4Er3, optimized geometry, DFT GGA-PBE" e_tot_ev_per_atom=-4.521 pbc="T T T"
Nd -7.086 4.424 7.920
Nd -3.047 5.797 6.322
Nd -2.240 6.769 10.080
Nd -6.278 5.396 11.677
Ho -8.402 7.246 13.609
Ho -0.923 3.948 4.391
Ho -4.024 0.405 9.043
Ho -4.430 8.486 12.060
Ho -4.896 2.708 5.940
Ho -5.302 10.788 8.957
Ho -6.201 2.198 10.997
Ho -3.125 8.996 7.003
Er -4.207 4.609 3.275
Er -5.492 7.312 8.922
Er -3.834 3.882 9.078
Er -6.780 10.009 14.571
Er -5.118 6.584 14.725
Er -2.546 1.185 3.429


2.
7
Lattice="-0.030 -3.499 0.662 0.300 0.600 -6.396 7.460 0.686 3.965" Properties=species:S:1:pos:R:3 comment="Pm3Mg2Ni2, optimized geometry, DFT GGA-PBE" e_tot_ev_per_atom=-4.303 pbc="T T T"
Mg 1.441 -2.381 -2.940
Mg 6.289 0.168 1.171
Pm 4.355 -0.504 -2.465
Pm 3.375 -1.710 0.696
Pm -0.015 -1.750 0.331
Ni 5.883 -1.962 -0.524
Ni 1.847 -0.251 -1.245


3.
4
Lattice="6.707 0.153 -0.038 4.112 5.301 0.038 -4.887 -3.765 2.638" Properties=species:S:1:pos:R:3 comment="TcTeCl2, optimized geometry, DFT GGA-PBE" formation_energy_uncorrected_mev_per_atom=90 pbc="T T T"
Cl 2.747 -0.880 1.300
Cl 0.014 0.007 0.000
Te 3.194 2.574 1.338
Tc 5.388 2.716 0.000